The following is a GGA+U calculation of an optimized crystal structure of Co2BiSbO6, from the Alexandria database.

It has space group R3 (No. 146, hexagonal axes), with a = 5.4435 Å, b = 5.4435 Å, c = 13.2342 Å, α = 90.00°, β = 90.00° and γ = 120.00°. The asymmetric unit holds Co at (0.0000, 0.0000, 0.0000), Co at (0.0000, 0.0000, 0.4969), Bi at (0.0000, 0.0000, 0.2264), Sb at (0.0000, 0.0000, 0.7165), O at (0.0150, 0.4279, 0.7577) and O at (0.0253, 0.5806, 0.2628).

The calculation puts the electronic total energy at -5.77 eV/atom. The value obtained for the magnetization is 0.00 μB per cell.